The following is a DFT calculation (PBE) of crystalline Li2CrBr at its relaxed geometry.

Geometry as POSCAR:
```
Li2CrBr
1.0
3.421 0.000 0.000
0.000 3.421 0.000
0.000 0.000 6.614
Li Cr Br
2 1 1
Cartesian
0.000 0.000 1.573
0.000 0.000 5.040
1.710 1.710 3.307
1.710 1.710 0.000
```

## Properties
calculated total energy: -3.91 eV/atom
raw formation energy: -0.131 eV/atom


The following is a DFT calculation (PBE) of crystalline CdNiW2 at its relaxed geometry.

Geometry as POSCAR:
```
CdNiW2
1.0
2.664 -4.369 0.000
2.664 4.369 0.000
0.000 0.000 2.705
Cd Ni W
1 1 2
Cartesian
0.000 0.000 0.000
2.664 0.000 0.000
1.332 2.184 1.352
1.332 -2.184 1.352
```

## Properties
calculated total energy: -7.61 eV/atom
energy of formation: 2.16 eV/f.u.


The following is a DFT calculation (PBE) of crystalline TaBe2Zn at its relaxed geometry.

Geometry as POSCAR:
```
TaBe2Zn
1.0
3.692 0.000 0.000
0.000 1.392 4.840
0.000 -1.392 4.840
Ta Be Zn
1 2 1
Cartesian
0.000 0.000 0.000
0.000 0.000 2.593
1.846 0.000 3.779
1.846 0.000 6.546
```

## Properties
calculated total energy: -5.06 eV/atom
energy of formation: 0.34 eV/f.u.


The following is a DFT calculation (PBE) of crystalline LiZr2Tl at its relaxed geometry.

Geometry as POSCAR:
```
LiZr2Tl
1.0
3.543 0.000 0.000
0.000 4.612 0.000
0.000 0.000 5.168
Li Zr Tl
1 2 1
Cartesian
0.000 0.000 0.000
0.000 2.306 2.584
1.771 0.000 2.584
1.771 2.306 0.000
```

## Properties
calculated total energy: -5.33 eV/atom
energy of formation: 0.04 eV/f.u.


The following is a DFT calculation (PBE) of crystalline Ca3Bi5Rh6 at its relaxed geometry.

Geometry as POSCAR:
```
Ca3Bi5Rh6
1.0
4.409 0.000 0.000
0.000 13.800 0.000
0.000 0.000 10.363
Ca Bi Rh
6 10 12
Cartesian
1.102 1.079 2.560
1.102 5.821 2.560
1.102 10.350 2.513
3.307 3.450 7.849
3.307 7.979 7.803
3.307 12.721 7.803
1.102 1.146 8.842
1.102 5.754 8.842
1.102 8.693 5.387
1.102 10.350 8.705
1.102 12.007 5.387
3.307 1.793 4.976
3.307 3.450 1.658
3.307 5.107 4.976
3.307 8.046 1.520
3.307 12.654 1.520
1.102 0.739 6.187
1.102 3.450 10.362
1.102 3.450 5.268
1.102 6.161 6.187
1.102 8.098 10.327
1.102 12.602 10.327
3.307 1.198 0.036
3.307 5.702 0.036
3.307 7.639 4.176
3.307 10.350 0.001
3.307 10.350 5.094
3.307 13.061 4.176
```

## Properties
calculated total energy: -5.37 eV/atom
energy of formation: -5.67 eV/f.u.


The following is a DFT calculation (PBE) of crystalline Dy6SiP2S3 at its relaxed geometry.

Geometry as POSCAR:
```
Dy6SiP2S3
1.0
8.695 -1.995 0.000
8.695 1.995 0.000
-1.826 0.000 7.758
Dy Si P S
6 1 2 3
Cartesian
-0.430 0.000 1.925
4.990 0.000 3.270
4.155 0.000 7.080
11.410 0.000 0.678
10.575 0.000 4.488
15.995 0.000 5.833
8.695 0.000 0.000
2.299 0.000 2.596
13.266 0.000 5.162
1.396 0.000 6.455
7.782 0.000 3.879
14.169 0.000 1.304
```

## Properties
calculated total energy: -6.40 eV/atom
raw formation energy: -1.715 eV/atom


The following is a DFT calculation (PBE) of crystalline AcTlAu at its relaxed geometry.

Geometry as POSCAR:
```
AcTlAu
1.0
5.532 0.000 0.000
-2.766 4.791 0.000
0.000 0.000 6.651
Ac Tl Au
2 2 2
Cartesian
0.000 3.194 1.663
2.766 1.597 4.989
0.000 0.000 0.000
0.000 0.000 3.326
0.000 3.194 4.989
2.766 1.597 1.663
```

## Properties
calculated total energy: -3.87 eV/atom
energy of formation: -1.85 eV/f.u.


The following is a DFT calculation (PBE) of crystalline TaAs at its relaxed geometry.

Geometry as POSCAR:
```
TaAs
1.0
-1.643 2.264 4.739
1.643 -2.264 4.739
1.643 2.264 -4.739
Ta As
2 2
Cartesian
0.000 1.132 1.052
1.643 1.132 3.686
1.643 1.132 -1.017
0.000 1.132 5.756
```

## Properties
calculated total energy: -8.34 eV/atom
energy of formation: -0.18 eV/f.u.


The following is a DFT calculation (PBE) of crystalline LiTeAs2 at its relaxed geometry.

Geometry as POSCAR:
```
LiTeAs2
1.0
3.317 0.000 0.000
0.000 3.317 0.000
0.000 0.000 8.661
Li Te As
1 1 2
Cartesian
0.000 0.000 0.000
1.659 1.659 2.038
0.000 0.000 5.481
1.659 1.659 6.662
```

## Properties
calculated total energy: -3.72 eV/atom
raw formation energy: -0.127 eV/atom


The following is a DFT calculation (PBE) of crystalline Ac3Te2P at its relaxed geometry.

Geometry as POSCAR:
```
Ac3Te2P
1.0
-2.314 2.314 9.927
2.314 -2.314 9.927
2.314 2.314 -9.927
Ac Te P
3 2 1
Cartesian
0.000 0.000 0.000
0.000 0.000 6.942
0.000 0.000 12.911
0.000 0.000 3.418
0.000 0.000 16.435
0.000 0.000 9.927
```

## Properties
calculated total energy: -5.51 eV/atom
raw formation energy: -1.509 eV/atom


The following is a DFT calculation (PBE) of crystalline TiNbGaIr at its relaxed geometry.

Geometry as POSCAR:
```
TiNbGaIr
1.0
0.000 3.171 3.171
3.171 0.000 3.171
3.171 3.171 0.000
Ti Nb Ga Ir
1 1 1 1
Cartesian
0.000 0.000 0.000
1.585 1.585 1.585
4.756 4.756 4.756
3.171 3.171 3.171
```

## Properties
calculated total energy: -7.82 eV/atom
energy of formation: -1.44 eV/f.u.


The following is a DFT calculation (PBE) of crystalline Rb3Th3HgTe8 at its relaxed geometry.

Geometry as POSCAR:
```
Rb3Th3HgTe8
1.0
8.045 -4.650 0.000
8.045 4.650 0.000
-5.361 0.000 8.540
Rb Th Hg Te
3 3 1 8
Cartesian
0.000 0.000 0.000
4.022 2.325 0.000
4.022 -2.325 0.000
1.342 2.325 4.270
1.342 -2.325 4.270
5.364 0.000 4.270
-2.681 0.000 4.270
0.136 0.000 5.964
3.953 2.201 5.969
2.682 0.000 2.493
6.776 2.201 2.571
3.953 -2.201 5.969
8.046 0.000 6.047
6.776 -2.201 2.571
10.592 0.000 2.575
```

## Properties
calculated total energy: -4.42 eV/atom
raw formation energy: -1.042 eV/atom


The following is a DFT calculation (PBE) of crystalline MgSc2PaS6 at its relaxed geometry.

Geometry as POSCAR:
```
MgSc2PaS6
1.0
3.304 1.907 5.949
-3.304 1.907 5.949
0.000 -3.815 5.949
Mg Sc Pa S
1 2 1 6
Cartesian
0.000 0.000 0.000
0.000 0.000 3.485
0.000 0.000 12.383
0.000 0.000 8.952
-1.077 -2.129 7.729
-2.055 0.059 10.734
-1.305 1.997 7.729
0.977 -1.809 10.734
2.382 0.131 7.729
1.079 1.751 10.734
```

## Properties
calculated total energy: -6.51 eV/atom
raw formation energy: -1.657 eV/atom


The following is a DFT calculation (PBE) of crystalline Be2Nb2Fe at its relaxed geometry.

Geometry as POSCAR:
```
Be2Nb2Fe
1.0
6.145 0.000 0.000
0.000 6.145 0.000
0.000 0.000 3.325
Be Nb Fe
4 4 2
Cartesian
0.753 2.320 0.000
2.320 5.392 0.000
3.825 0.753 0.000
5.392 3.825 0.000
1.084 4.157 1.662
1.988 1.084 1.662
4.157 5.060 1.662
5.060 1.988 1.662
0.000 0.000 0.000
3.072 3.072 0.000
```

## Properties
calculated total energy: -7.38 eV/atom
energy of formation: -0.85 eV/f.u.


The following is a DFT calculation (PBE) of crystalline CePu4Tc4 at its relaxed geometry.

Geometry as POSCAR:
```
CePu4Tc4
1.0
6.237 0.000 0.000
0.000 6.237 0.000
0.000 0.000 9.920
Ce Pu Tc
2 8 8
Cartesian
1.559 4.678 2.480
4.678 1.559 7.440
0.097 1.559 0.530
1.559 0.097 5.490
1.559 3.022 5.490
3.022 1.559 0.530
3.215 4.678 9.390
4.678 3.215 4.430
4.678 6.140 4.430
6.140 4.678 9.390
0.233 1.559 3.103
1.559 0.233 8.063
1.559 2.886 8.063
2.886 1.559 3.103
3.351 4.678 6.817
4.678 3.351 1.857
4.678 6.004 1.857
6.004 4.678 6.817
```

## Properties
calculated total energy: -11.46 eV/atom
energy of formation: 1.56 eV/f.u.


The following is a DFT calculation (PBE) of crystalline ZnSb3Te at its relaxed geometry.

Geometry as POSCAR:
```
ZnSb3Te
1.0
5.239 0.000 0.000
0.000 5.239 0.000
0.000 0.000 5.239
Zn Sb Te
1 3 1
Cartesian
0.000 0.000 0.000
0.000 0.000 2.620
0.000 2.620 0.000
2.620 0.000 0.000
2.620 2.620 2.620
```

## Properties
calculated total energy: -2.84 eV/atom
raw formation energy: 0.518 eV/atom


The following is a DFT calculation (PBE) of crystalline YZrAl3 at its relaxed geometry.

Geometry as POSCAR:
```
YZrAl3
1.0
5.081 0.000 0.000
0.000 5.081 0.000
0.000 0.000 5.081
Y Zr Al
1 1 3
Cartesian
0.000 0.000 0.000
2.541 2.541 2.541
0.000 2.541 2.541
2.541 0.000 2.541
2.541 2.541 0.000
```

## Properties
calculated total energy: -4.87 eV/atom
energy of formation: 1.91 eV/f.u.


The following is a DFT calculation (PBE) of crystalline CeHgN at its relaxed geometry.

Geometry as POSCAR:
```
CeHgN
1.0
4.092 0.000 0.000
0.000 4.092 0.000
0.000 0.000 7.609
Ce Hg N
2 2 2
Cartesian
1.023 1.023 1.045
3.069 3.069 6.565
1.023 1.023 4.557
3.069 3.069 3.052
1.023 3.069 0.000
3.069 1.023 0.000
```

## Properties
calculated total energy: -5.89 eV/atom
raw formation energy: -1.032 eV/atom


The following is a DFT calculation (PBE) of crystalline TmCd5Pd6 at its relaxed geometry.

Geometry as POSCAR:
```
TmCd5Pd6
1.0
2.182 -6.564 0.000
2.182 6.564 0.000
0.000 0.000 7.497
Tm Cd Pd
1 5 6
Cartesian
0.000 0.000 0.000
0.000 0.000 3.749
2.182 2.246 0.000
2.182 2.166 3.749
2.182 -2.166 3.749
2.182 -2.246 0.000
2.182 4.375 1.892
2.182 4.375 5.605
2.182 0.000 1.847
2.182 0.000 5.650
2.182 -4.375 1.892
2.182 -4.375 5.605
```

## Properties
calculated total energy: -3.88 eV/atom
energy of formation: -6.33 eV/f.u.


The following is a DFT calculation (PBE) of crystalline KSbPb2Au at its relaxed geometry.

Geometry as POSCAR:
```
KSbPb2Au
1.0
5.452 0.000 0.000
0.000 5.452 0.000
0.000 0.000 6.821
K Sb Pb Au
1 1 2 1
Cartesian
0.000 0.000 0.000
2.726 2.726 1.209
0.000 2.726 2.928
2.726 0.000 2.928
0.000 0.000 3.585
```

## Properties
calculated total energy: -3.26 eV/atom
raw formation energy: -0.079 eV/atom